Material: BaCoIr2
Method: DFT, GGA-PBE
State: optimized geometry

Summary:
For the density of states at the Fermi level, the calculation gives 5.35 states/eV/cell. The total energy is -6.202 eV/atom. The crystal system is tetragonal. The value obtained for the magnetization is 1.32 μB/f.u. As for the volume: 74 Å³ per cell.

Geometry as CIF:
```
data_BaCoIr2
_cell_length_a 3.042
_cell_length_b 3.042
_cell_length_c 7.967
_cell_angle_alpha 90.00
_cell_angle_beta 90.00
_cell_angle_gamma 90.00
_space_group_name_H-M_alt 'P 4/m m m'
_space_group_IT_number 123
_space_group_name_Hall '-P 4 2'
loop_
_atom_site_label
_atom_site_type_symbol
_atom_site_fract_x
_atom_site_fract_y
_atom_site_fract_z
_atom_site_occupancy
Ba1 Ba 0.000 0.000 0.000 1
Co1 Co 0.000 0.000 0.500 1
Ir1 Ir 0.500 0.500 0.325 1
```

Material: BaCoIr2
Method: DFT, GGA-PBE
State: optimized geometry

Summary:
For the density of states at the Fermi level, the calculation gives 5.58 states/eV/cell. The total energy is -6.226 eV/atom. The crystal system is orthorhombic. The value obtained for the magnetization is 1.78 μB/f.u. As for the volume: 78 Å³ per cell.

Geometry as CIF:
```
data_BaCoIr2
_cell_length_a 2.899
_cell_length_b 3.663
_cell_length_c 7.350
_cell_angle_alpha 90.00
_cell_angle_beta 90.00
_cell_angle_gamma 90.00
_space_group_name_H-M_alt 'P m m 2'
_space_group_IT_number 25
loop_
_space_group_symop_operation_xyz
'x,y,z'
'-x,-y,z'
'-x,y,z'
'x,-y,z'
loop_
_atom_site_label
_atom_site_type_symbol
_atom_site_fract_x
_atom_site_fract_y
_atom_site_fract_z
_atom_site_occupancy
Ba1 Ba 0.000 0.000 0.000 1
Co1 Co 0.500 0.500 0.334 1
Ir1 Ir 0.000 0.000 0.491 1
Ir2 Ir 0.500 0.500 0.672 1
```

Material: BaCo2Ir2
Method: DFT, GGA-PBE
State: optimized geometry

Summary:
For the density of states at the Fermi level, the calculation gives 12.57 states/eV/cell. The total energy is -6.475 eV/atom. The crystal system is tetragonal. The value obtained for the magnetization is 2.69 μB/f.u. As for the volume: 207 Å³ per cell.

Geometry as CIF:
```
data_BaCo2Ir2
_cell_length_a 4.386
_cell_length_b 4.386
_cell_length_c 10.780
_cell_angle_alpha 90.00
_cell_angle_beta 90.00
_cell_angle_gamma 90.00
_space_group_name_H-M_alt 'I 4/m m m'
_space_group_IT_number 139
_space_group_name_Hall '-I 4 2'
loop_
_atom_site_label
_atom_site_type_symbol
_atom_site_fract_x
_atom_site_fract_y
_atom_site_fract_z
_atom_site_occupancy
Ba1 Ba 0.000 0.000 0.000 1
Co1 Co 0.000 0.000 0.336 1
Ir1 Ir 0.000 0.500 0.250 1
```

Material: BaCoIr2
Method: DFT, GGA-PBE
State: optimized geometry

Summary:
For the density of states at the Fermi level, the calculation gives 10.51 states/eV/cell. The total energy is -5.740 eV/atom. The crystal system is tetragonal. The value obtained for the magnetization is 2.86 μB/f.u. As for the volume: 151 Å³ per cell.

Geometry as CIF:
```
data_BaCoIr2
_cell_length_a 4.250
_cell_length_b 4.250
_cell_length_c 8.347
_cell_angle_alpha 90.00
_cell_angle_beta 90.00
_cell_angle_gamma 90.00
_space_group_name_H-M_alt 'I 4/m m m'
_space_group_IT_number 139
_space_group_name_Hall '-I 4 2'
loop_
_atom_site_label
_atom_site_type_symbol
_atom_site_fract_x
_atom_site_fract_y
_atom_site_fract_z
_atom_site_occupancy
Ba1 Ba 0.000 0.000 0.000 1
Co1 Co 0.000 0.000 0.500 1
Ir1 Ir 0.000 0.500 0.250 1
```

Material: BaCoIr2
Method: DFT, GGA-PBE
State: optimized geometry

Summary:
For the density of states at the Fermi level, the calculation gives 6.16 states/eV/cell. The total energy is -5.799 eV/atom. The crystal system is orthorhombic. The value obtained for the magnetization is 2.16 μB/f.u. As for the volume: 74 Å³ per cell.

Geometry as CIF:
```
data_BaCoIr2
_cell_length_a 3.005
_cell_length_b 4.832
_cell_length_c 5.126
_cell_angle_alpha 90.00
_cell_angle_beta 90.00
_cell_angle_gamma 90.00
_space_group_name_H-M_alt 'P m m m'
_space_group_IT_number 47
loop_
_space_group_symop_operation_xyz
'x,y,z'
'-x,-y,-z'
'-x,-y,z'
'x,y,-z'
'x,-y,-z'
'-x,y,z'
'-x,y,-z'
'x,-y,z'
loop_
_atom_site_label
_atom_site_type_symbol
_atom_site_fract_x
_atom_site_fract_y
_atom_site_fract_z
_atom_site_occupancy
Ba1 Ba 0.000 0.000 0.000 1
Co1 Co 0.500 0.500 0.000 1
Ir1 Ir 0.000 0.500 0.500 1
Ir2 Ir 0.500 0.000 0.500 1
```

Material: BaCo2Ir
Method: DFT, GGA-PBE
State: optimized geometry

Summary:
For the density of states at the Fermi level, the calculation gives 6.87 states/eV/cell. The total energy is -6.201 eV/atom. The crystal system is trigonal. The value obtained for the magnetization is 2.70 μB/f.u. As for the volume: 261 Å³ per cell.

Geometry as CIF:
```
data_BaCo2Ir
_cell_length_a 4.2110
_cell_length_b 4.2110
_cell_length_c 17.0148
_cell_angle_alpha 90.00
_cell_angle_beta 90.00
_cell_angle_gamma 120.00
_space_group_name_H-M_alt 'R 3 m'
_space_group_IT_number 160
_space_group_name_Hall 'R 3 -2"'
loop_
_atom_site_label
_atom_site_type_symbol
_atom_site_fract_x
_atom_site_fract_y
_atom_site_fract_z
_atom_site_occupancy
Ba1 Ba 0.0000 0.0000 0.0000 1
Co1 Co 0.0000 0.0000 0.1801 1
Co2 Co 0.0000 0.0000 0.4955 1
Ir1 Ir 0.0000 0.0000 0.8149 1
```

Material: BaCoIr
Method: DFT, GGA-PBE
State: optimized geometry

Summary:
For the density of states at the Fermi level, the calculation gives 18.73 states/eV/cell. The total energy is -5.131 eV/atom. The crystal system is cubic. The value obtained for the magnetization is 2.41 μB/f.u. As for the volume: 282 Å³ per cell.

Geometry as CIF:
```
data_BaCoIr
_cell_length_a 6.561
_cell_length_b 6.561
_cell_length_c 6.561
_cell_angle_alpha 90.00
_cell_angle_beta 90.00
_cell_angle_gamma 90.00
_space_group_name_H-M_alt 'F -4 3 m'
_space_group_IT_number 216
_space_group_name_Hall 'F -4 2 3'
loop_
_atom_site_label
_atom_site_type_symbol
_atom_site_fract_x
_atom_site_fract_y
_atom_site_fract_z
_atom_site_occupancy
Ba1 Ba 0.000 0.000 0.000 1
Co1 Co 0.250 0.250 0.750 1
Ir1 Ir 0.000 0.000 0.500 1
```

Material: BaCoIr2
Method: DFT, GGA-PBE
State: optimized geometry

Summary:
For the density of states at the Fermi level, the calculation gives 5.45 states/eV/cell. The total energy is -6.127 eV/atom. The crystal system is monoclinic. The value obtained for the magnetization is 2.48 μB/f.u. As for the volume: 82 Å³ per cell.

Geometry as CIF:
```
data_BaCoIr2
_cell_length_a 2.947
_cell_length_b 4.173
_cell_length_c 6.782
_cell_angle_alpha 90.00
_cell_angle_beta 101.08
_cell_angle_gamma 90.00
_space_group_name_H-M_alt 'P 1 2/m 1'
_space_group_IT_number 10
loop_
_space_group_symop_operation_xyz
'x,y,z'
'-x,-y,-z'
'-x,y,-z'
'x,-y,z'
loop_
_atom_site_label
_atom_site_type_symbol
_atom_site_fract_x
_atom_site_fract_y
_atom_site_fract_z
_atom_site_occupancy
Ba1 Ba 0.000 0.000 0.000 1
Co1 Co 0.500 0.000 0.500 1
Ir1 Ir 0.305 0.500 0.663 1
```

Material: BaCo2Ir
Method: DFT, GGA-PBE
State: optimized geometry

Summary:
For the density of states at the Fermi level, the calculation gives 4.80 states/eV/cell. The total energy is -5.731 eV/atom. The crystal system is tetragonal. The value obtained for the magnetization is 3.45 μB/f.u. As for the volume: 75 Å³ per cell.

Geometry as CIF:
```
data_BaCo2Ir
_cell_length_a 3.212
_cell_length_b 3.212
_cell_length_c 7.315
_cell_angle_alpha 90.00
_cell_angle_beta 90.00
_cell_angle_gamma 90.00
_space_group_name_H-M_alt 'P 4/m m m'
_space_group_IT_number 123
_space_group_name_Hall '-P 4 2'
loop_
_atom_site_label
_atom_site_type_symbol
_atom_site_fract_x
_atom_site_fract_y
_atom_site_fract_z
_atom_site_occupancy
Ba1 Ba 0.000 0.000 0.000 1
Co1 Co 0.500 0.500 0.339 1
Ir1 Ir 0.000 0.000 0.500 1
```

Material: BaCo2Ir2
Method: DFT, GGA-PBE
State: optimized geometry

Summary:
For the density of states at the Fermi level, the calculation gives 13.69 states/eV/cell. The total energy is -6.540 eV/atom. The crystal system is tetragonal. The value obtained for the magnetization is 4.49 μB/f.u. As for the volume: 191 Å³ per cell.

Geometry as CIF:
```
data_BaCo2Ir2
_cell_length_a 4.366
_cell_length_b 4.366
_cell_length_c 10.006
_cell_angle_alpha 90.00
_cell_angle_beta 90.00
_cell_angle_gamma 90.00
_space_group_name_H-M_alt 'I 4/m m m'
_space_group_IT_number 139
_space_group_name_Hall '-I 4 2'
loop_
_atom_site_label
_atom_site_type_symbol
_atom_site_fract_x
_atom_site_fract_y
_atom_site_fract_z
_atom_site_occupancy
Ba1 Ba 0.000 0.000 0.000 1
Co1 Co 0.000 0.500 0.250 1
Ir1 Ir 0.000 0.000 0.373 1
```

Material: BaCo2Ir
Method: DFT, GGA-PBE
State: optimized geometry

Summary:
For the density of states at the Fermi level, the calculation gives 4.95 states/eV/cell. The total energy is -5.729 eV/atom. The crystal system is tetragonal. The value obtained for the magnetization is 3.89 μB/f.u. As for the volume: 74 Å³ per cell.

Geometry as CIF:
```
data_BaCo2Ir
_cell_length_a 3.116
_cell_length_b 3.116
_cell_length_c 7.571
_cell_angle_alpha 90.00
_cell_angle_beta 90.00
_cell_angle_gamma 90.00
_space_group_name_H-M_alt 'P 4 m m'
_space_group_IT_number 99
loop_
_space_group_symop_operation_xyz
'x,y,z'
'-y,x,z'
'-x,-y,z'
'y,-x,z'
'-x,y,z'
'y,x,z'
'x,-y,z'
'-y,-x,z'
loop_
_atom_site_label
_atom_site_type_symbol
_atom_site_fract_x
_atom_site_fract_y
_atom_site_fract_z
_atom_site_occupancy
Ba1 Ba 0.000 0.000 0.000 1
Co1 Co 0.000 0.000 0.485 1
Co2 Co 0.500 0.500 0.344 1
Ir1 Ir 0.500 0.500 0.674 1
```

Material: BaCo2Ir
Method: DFT, GGA-PBE
State: optimized geometry

Summary:
For the density of states at the Fermi level, the calculation gives 10.71 states/eV/cell. The total energy is -5.488 eV/atom. The crystal system is orthorhombic. The value obtained for the magnetization is 3.83 μB/f.u. As for the volume: 169 Å³ per cell.

Geometry as CIF:
```
data_BaCo2Ir
_cell_length_a 3.290
_cell_length_b 5.507
_cell_length_c 9.338
_cell_angle_alpha 90.00
_cell_angle_beta 90.00
_cell_angle_gamma 90.00
_space_group_name_H-M_alt 'I m m m'
_space_group_IT_number 71
_space_group_name_Hall '-I 2 2'
loop_
_atom_site_label
_atom_site_type_symbol
_atom_site_fract_x
_atom_site_fract_y
_atom_site_fract_z
_atom_site_occupancy
Ba1 Ba 0.000 0.000 0.000 1
Co1 Co 0.000 0.500 0.190 1
Ir1 Ir 0.000 0.000 0.500 1
```